1.
{
  "formula": "PaZnInHg",
  "functional": "PBE",
  "state": "relaxed",
  "spacegroup": "F-43m, No. 216",
  "e_form_ev_per_atom": 0.031,
  "final_energy_ev_per_cell": -13.68,
  "dos_at_fermi_per_ev_cell": 2.7,
  "cell": [[0.000, 3.554, 3.554], [3.554, 0.000, 3.554], [3.554, 3.554, 0.000]],
  "species": ["Pa", "Zn", "In", "Hg"],
  "frac_coords": [[0.000, 0.000, 0.000], [0.750, 0.750, 0.750], [0.500, 0.500, 0.500], [0.250, 0.250, 0.250]]
}

2.
{
  "formula": "In2HgPb",
  "functional": "PBE",
  "state": "relaxed",
  "spacegroup": "C2/m, No. 12",
  "e_form_ev_per_atom": 0.014,
  "final_energy_ev_per_cell": -9.43,
  "dos_at_fermi_per_ev_cell": 1.1,
  "cell": [[5.394, -1.738, 0.000], [5.394, 1.738, 0.000], [-1.216, 0.000, 5.912]],
  "species": ["In", "In", "Hg", "Pb"],
  "frac_coords": [[0.245, 0.245, 0.240], [0.755, 0.755, 0.760], [0.500, 0.500, 0.000], [0.000, 0.000, 0.500]]
}

3.
{
  "formula": "InHg12Pb6",
  "functional": "PBE",
  "state": "relaxed",
  "spacegroup": "R-3, No. 148",
  "e_form_ev_per_atom": 0.041,
  "final_energy_ev_per_cell": -27.84,
  "dos_at_fermi_per_ev_cell": 7.7,
  "cell": [[7.327, 4.230, 2.857], [-7.327, 4.230, 2.857], [0.000, -8.460, 2.857]],
  "species": ["In", "Hg", "Hg", "Hg", "Hg", "Hg", "Hg", "Hg", "Hg", "Hg", "Hg", "Hg", "Hg", "Pb", "Pb", "Pb", "Pb", "Pb", "Pb"],
  "frac_coords": [[0.000, 0.000, 0.000], [0.018, 0.553, 0.352], [0.097, 0.179, 0.756], [0.179, 0.756, 0.097], [0.244, 0.903, 0.821], [0.352, 0.018, 0.553], [0.447, 0.648, 0.982], [0.553, 0.352, 0.018], [0.648, 0.982, 0.447], [0.756, 0.097, 0.179], [0.821, 0.244, 0.903], [0.903, 0.821, 0.244], [0.982, 0.447, 0.648], [0.219, 0.292, 0.489], [0.292, 0.489, 0.219], [0.489, 0.219, 0.292], [0.511, 0.781, 0.708], [0.708, 0.511, 0.781], [0.781, 0.708, 0.511]]
}

4.
{
  "formula": "InHg2Pb",
  "functional": "PBE",
  "state": "relaxed",
  "spacegroup": "Pmm2, No. 25",
  "e_form_ev_per_atom": 0.031,
  "final_energy_ev_per_cell": -6.93,
  "dos_at_fermi_per_ev_cell": 1.6,
  "cell": [[3.580, 0.000, 0.000], [0.000, 4.657, 0.000], [0.000, 0.000, 6.589]],
  "species": ["In", "Hg", "Hg", "Pb"],
  "frac_coords": [[0.000, 0.000, 0.000], [0.000, 0.000, 0.521], [0.500, 0.500, 0.761], [0.500, 0.500, 0.265]]
}

5.
{
  "formula": "In6Hg5Pb",
  "functional": "PBE",
  "state": "relaxed",
  "spacegroup": "C2/m, No. 12",
  "e_form_ev_per_atom": 0.018,
  "final_energy_ev_per_cell": -21.43,
  "dos_at_fermi_per_ev_cell": 4.8,
  "cell": [[3.339, -5.658, 0.000], [3.339, 5.658, 0.000], [-2.327, 0.000, 8.734]],
  "species": ["In", "In", "In", "In", "In", "In", "Hg", "Hg", "Hg", "Hg", "Hg", "Pb"],
  "frac_coords": [[0.060, 0.409, 0.738], [0.223, 0.223, 0.244], [0.409, 0.060, 0.738], [0.591, 0.940, 0.262], [0.777, 0.777, 0.756], [0.940, 0.591, 0.262], [0.000, 0.000, 0.500], [0.176, 0.824, 0.000], [0.350, 0.650, 0.500], [0.650, 0.350, 0.500], [0.824, 0.176, 0.000], [0.500, 0.500, 0.000]]
}

6.
{
  "formula": "In4Hg3Pb2",
  "functional": "PBE",
  "state": "relaxed",
  "spacegroup": "C2/c, No. 15",
  "e_form_ev_per_atom": 0.034,
  "final_energy_ev_per_cell": -37.94,
  "dos_at_fermi_per_ev_cell": 7.3,
  "cell": [[9.959, -4.799, 0.000], [9.959, 4.799, 0.000], [-0.082, 0.000, 5.314]],
  "species": ["In", "In", "In", "In", "In", "In", "In", "In", "Hg", "Hg", "Hg", "Hg", "Hg", "Hg", "Pb", "Pb", "Pb", "Pb"],
  "frac_coords": [[0.082, 0.820, 0.510], [0.132, 0.400, 0.306], [0.180, 0.918, 0.990], [0.400, 0.132, 0.806], [0.600, 0.868, 0.194], [0.820, 0.082, 0.010], [0.868, 0.600, 0.694], [0.918, 0.180, 0.490], [0.055, 0.264, 0.880], [0.264, 0.055, 0.380], [0.396, 0.604, 0.250], [0.604, 0.396, 0.750], [0.736, 0.945, 0.620], [0.945, 0.736, 0.120], [0.258, 0.498, 0.809], [0.498, 0.258, 0.309], [0.502, 0.742, 0.691], [0.742, 0.502, 0.191]]
}

Q: What is the formula in the fourth record?
A: InHg2Pb